DFT (PBE+U) results for a geometry-optimized Cr3ClO structure.

a b c (Å): 4.4655 4.4655 4.4655
angles (deg): 90.00 90.00 90.00
With the nearest neighbours (Å) after each atom.
Positions (direct):
Cr  0.0000  0.0000  0.5000  2 O 2.23
Cr  0.0000  0.5000  0.0000  2 O 2.23
Cr  0.5000  0.0000  0.0000  2 O 2.23
Cl  0.5000  0.5000  0.5000  12 Cr 3.16
O  0.0000  0.0000  0.0000  6 Cr 2.23

Properties
total magnetic moment: 14.81 μB/cell
relative energy among the computed polymorphs: 0.000 eV per atom